# GGA-PBE Ba3YIrRuO9, optimized geometry
data_Ba3YIrRuO9
_chemical_formula_sum 'Ba6 Y2 Ir2 Ru2 O18'
_space_group_name_H-M_alt 'P 63 m c'
_space_group_IT_number 186
_space_group_name_Hall 'P 6c -2c'
_cell_length_a 5.9570
_cell_length_b 5.9570
_cell_length_c 14.6960
_cell_angle_alpha 90.00
_cell_angle_beta 90.00
_cell_angle_gamma 120.00
loop_
_atom_site_label
_atom_site_type_symbol
_atom_site_fract_x
_atom_site_fract_y
_atom_site_fract_z
Ba1 Ba 0.0000 0.0000 0.0000
Ba2 Ba 0.3333 0.6667 0.1584
Ba3 Ba 0.3333 0.6667 0.8441
Y1 Y 0.0000 0.0000 0.2504
Ir1 Ir 0.3333 0.6667 0.4140
Ru1 Ru 0.3333 0.6667 0.5860
O1 O 0.0207 0.5103 0.4999
O2 O 0.1764 0.3529 0.3356
O3 O 0.1763 0.3526 0.6610
# Calculated total energy   -214.66 eV/cell
# Fermi-level density of states   0.42 states/eV per atom